Record 1
# In3Hg3Pb

A relaxed In3Hg3Pb crystal (PBE, the Alexandria database).

```
In3Hg3Pb
1.0
3.583 -5.677 0.000
3.583 5.677 0.000
-0.013 0.000 10.025
In Hg Pb
6 6 2
Direct
0.235 0.235 0.002
0.245 0.755 0.000
0.248 0.752 0.500
0.752 0.248 0.500
0.755 0.245 0.000
0.765 0.765 0.998
0.001 0.499 0.249
0.496 0.496 0.762
0.499 0.001 0.249
0.501 0.999 0.751
0.504 0.504 0.238
0.999 0.501 0.751
0.248 0.248 0.498
0.752 0.752 0.502
```

Calculated values
- energy of formation (eV/atom) = 0.06
- space-group type = No. 12
- relative energy among the computed polymorphs (eV per formula unit) = 0.14



Record 2
# In2Hg3Pb4

A relaxed In2Hg3Pb4 crystal (PBE, the Alexandria database).

```
In2Hg3Pb4
1.0
6.742 -5.545 0.000
6.742 5.545 0.000
-1.704 0.000 6.985
In Hg Pb
4 6 8
Direct
0.033 0.747 0.824
0.253 0.967 0.676
0.747 0.033 0.324
0.967 0.253 0.176
0.109 0.891 0.250
0.194 0.461 0.079
0.461 0.194 0.579
0.539 0.806 0.421
0.806 0.539 0.921
0.891 0.109 0.750
0.093 0.342 0.635
0.310 0.581 0.511
0.342 0.093 0.135
0.419 0.690 0.989
0.581 0.310 0.011
0.658 0.907 0.865
0.690 0.419 0.489
0.907 0.658 0.365
```

Calculated values
- energy of formation (eV/atom) = 0.04
- space-group type = No. 15
- relative energy among the computed polymorphs (eV per formula unit) = 0.13



Record 3
# InHg2Pb

A relaxed InHg2Pb crystal (PBE, the Alexandria database).

```
InHg2Pb
1.0
3.815 0.000 0.000
0.000 3.815 0.000
0.000 0.000 7.517
In Hg Pb
1 2 1
Direct
0.000 0.000 0.000
0.000 0.000 0.542
0.500 0.500 0.770
0.500 0.500 0.282
```

Calculated values
- energy of formation (eV/atom) = 0.03
- space-group type = No. 99



Record 4
# In7Hg2Pb3

A relaxed In7Hg2Pb3 crystal (PBE, the Alexandria database).

```
In7Hg2Pb3
1.0
5.629 0.000 0.000
0.000 3.313 0.000
-0.157 0.000 18.383
In Hg Pb
7 2 3
Direct
0.000 0.000 0.000
0.234 0.500 0.189
0.250 0.500 0.539
0.269 0.000 0.849
0.731 0.000 0.151
0.750 0.500 0.461
0.766 0.500 0.811
0.251 0.500 0.702
0.749 0.500 0.298
0.253 0.000 0.367
0.500 0.500 0.000
0.747 0.000 0.633
```

Calculated values
- energy of formation (eV/atom) = 0.04
- space-group type = No. 10
- relative energy among the computed polymorphs (eV per formula unit) = 0.07



Record 5
# In3Hg2Pb4

A relaxed In3Hg2Pb4 crystal (PBE, the Alexandria database).

```
In3Hg2Pb4
1.0
6.077 -7.402 0.000
6.077 7.402 0.000
-2.350 0.000 5.859
In Hg Pb
6 4 8
Direct
0.008 0.992 0.750
0.337 0.404 0.023
0.404 0.337 0.523
0.596 0.663 0.477
0.663 0.596 0.977
0.992 0.008 0.250
0.083 0.320 0.576
0.320 0.083 0.076
0.680 0.917 0.924
0.917 0.680 0.424
0.019 0.680 0.964
0.238 0.617 0.461
0.320 0.981 0.536
0.383 0.762 0.039
0.617 0.238 0.961
0.680 0.019 0.464
0.762 0.383 0.539
0.981 0.320 0.036
```

Calculated values
- energy of formation (eV/atom) = 0.04
- space-group type = No. 15
- relative energy among the computed polymorphs (eV per formula unit) = 0.00



Record 6
# InHg6Pb12

A relaxed InHg6Pb12 crystal (PBE, the Alexandria database).

```
InHg6Pb12
1.0
6.579 3.798 3.882
-6.579 3.798 3.882
0.000 -7.596 3.882
In Hg Pb
1 6 12
Direct
0.000 0.000 0.000
0.165 0.165 0.409
0.165 0.409 0.165
0.409 0.165 0.165
0.591 0.835 0.835
0.835 0.591 0.835
0.835 0.835 0.591
0.000 0.259 0.742
0.000 0.741 0.258
0.186 0.587 0.587
0.258 0.000 0.741
0.259 0.742 0.000
0.413 0.413 0.814
0.413 0.814 0.413
0.587 0.186 0.587
0.587 0.587 0.186
0.741 0.258 0.000
0.742 0.000 0.259
0.814 0.413 0.413
```

Calculated values
- energy of formation (eV/atom) = 0.07
- space-group type = No. 148
- relative energy among the computed polymorphs (eV per formula unit) = 0.00



Record 7
# InHgPb3

A relaxed InHgPb3 crystal (PBE, the Alexandria database).

```
InHgPb3
1.0
5.842 0.000 0.000
0.000 6.815 0.000
-2.727 0.000 7.521
In Hg Pb
2 2 6
Direct
0.113 0.250 0.223
0.887 0.750 0.777
0.496 0.250 0.005
0.504 0.750 0.995
0.111 0.750 0.214
0.308 0.000 0.621
0.308 0.500 0.621
0.692 0.000 0.379
0.692 0.500 0.379
0.889 0.250 0.786
```

Calculated values
- energy of formation (eV/atom) = 0.03
- space-group type = No. 11
- relative energy among the computed polymorphs (eV per formula unit) = 0.05



Record 8
# In4HgPb

A relaxed In4HgPb crystal (PBE, the Alexandria database).

```
In4HgPb
1.0
0.000 4.422 4.422
4.422 0.000 4.422
4.422 4.422 0.000
In Hg Pb
4 1 1
Direct
0.125 0.125 0.125
0.125 0.125 0.625
0.125 0.625 0.125
0.625 0.125 0.125
0.500 0.500 0.500
0.750 0.750 0.750
```

Calculated values
- energy of formation (eV/atom) = 0.09
- space-group type = No. 216
- relative energy among the computed polymorphs (eV per formula unit) = 0.09



Record 9
# In5Hg4Pb2

A relaxed In5Hg4Pb2 crystal (PBE, the Alexandria database).

```
In5Hg4Pb2
1.0
-1.646 4.258 11.223
1.646 -4.258 11.223
1.646 4.258 -11.223
In Hg Pb
5 4 2
Direct
0.000 0.000 0.000
0.052 0.360 0.693
0.333 0.640 0.693
0.667 0.360 0.307
0.948 0.640 0.307
0.302 0.500 0.802
0.406 0.906 0.500
0.594 0.094 0.500
0.698 0.500 0.198
0.269 0.769 0.500
0.731 0.231 0.500
```

Calculated values
- energy of formation (eV/atom) = 0.09
- space-group type = No. 71
- relative energy among the computed polymorphs (eV per formula unit) = 0.00



Record 10
# In7Hg3Pb

A relaxed In7Hg3Pb crystal (PBE, the Alexandria database).

```
In7Hg3Pb
1.0
4.813 -5.585 0.000
4.813 5.585 0.000
-2.470 0.000 5.894
In Hg Pb
7 3 1
Direct
0.000 0.000 0.000
0.088 0.562 0.326
0.320 0.320 0.971
0.438 0.912 0.674
0.562 0.088 0.326
0.680 0.680 0.029
0.912 0.438 0.674
0.266 0.734 0.000
0.500 0.500 0.500
0.734 0.266 0.000
0.000 0.000 0.500
```

Calculated values
- energy of formation (eV/atom) = 0.07
- space-group type = No. 12
- relative energy among the computed polymorphs (eV per formula unit) = 0.28